# Hf2SiHg

A crystal of Hf2SiHg relaxed with PBEsol (SCAN, Alexandria via LeMat-Bulk).

Results
**E_tot**: -204.0 eV/f.u.
**Formation energy without anion corrections**: -0.13 eV/atom
**Total magnetic moment**: 0.00 μB/f.u.
**Volume**: 299 Å³/cell

Cell lengths 6.6862, 6.6862, 6.6862 Å; angles 90.00, 90.00, 90.00 degrees
Closest atoms and distances in Å follow each position.
Space group Fm-3m (No. 225)
Symmetry-distinct sites (fractional):
1 Hf 0.2500 0.2500 0.2500 x8  4 Hg 2.90, 4 Si 2.90
2 Si 0.0000 0.0000 0.0000 x4  8 Hf 2.90
3 Hg 0.0000 0.0000 0.5000 x4  8 Hf 2.90